A) # NiMoRu

NiMoRu after structural relaxation (PBE, Alexandria via LeMat-Bulk).

As for the density of states at the Fermi level: 9.89 states/eV/cell. The calculated volume is 13.6 Å³/atom. The value obtained for the magnetization is 0.000 μB/f.u.

The space group is C2/m (No. 12) and the conventional cell measures 8.4430, 3.7360 and 5.4549 Å, with angles of 90.00, 108.17 and 90.00 degrees. Symmetry generates all atoms from Ni at (0.1664, 0.0000, 0.0798), Mo at (0.1687, 0.0000, 0.6037) and Ru at (0.0008, 0.5000, 0.7632).

B) # NiMoRu

NiMoRu after structural relaxation (PBE, Alexandria via LeMat-Bulk).

As for the density of states at the Fermi level: 4.48 states/eV/cell. The calculated volume is 13.7 Å³/atom. The value obtained for the magnetization is 0.000 μB/f.u.

The space group is I4mm (No. 107) and the conventional cell measures 3.1637, 3.1637 and 8.2216 Å, with angles of 90.00, 90.00 and 90.00 degrees. Symmetry generates all atoms from Ni at (0.0000, 0.0000, 0.0000), Mo at (0.0000, 0.0000, 0.6562) and Ru at (0.0000, 0.0000, 0.3273).

C) # NiMoRu

NiMoRu after structural relaxation (PBE, Alexandria via LeMat-Bulk).

As for the density of states at the Fermi level: 13.48 states/eV/cell. The calculated volume is 13.6 Å³/atom. The value obtained for the magnetization is 0.000 μB/f.u.

The space group is C2/c (No. 15) and the conventional cell measures 4.6028, 8.0774 and 4.6381 Å, with angles of 90.00, 108.33 and 90.00 degrees. Symmetry generates all atoms from Ni at (0.0000, 0.0799, 0.2500), Mo at (0.0000, 0.2484, 0.7500) and Ru at (0.0000, 0.4137, 0.2500).

Verdict on stability: B) comes out at the bottom.

A) # NiMoRu

NiMoRu after structural relaxation (PBE, Alexandria via LeMat-Bulk).

As for the density of states at the Fermi level: 6.75 states/eV/cell. The calculated volume is 13.7 Å³/atom. The value obtained for the magnetization is 0.000 μB/f.u.

The space group is P-1 (No. 2) and the conventional cell measures 4.6261, 4.6492 and 5.0919 Å, with angles of 92.03, 115.67 and 119.11 degrees. Symmetry generates all atoms from Ni at (0.1787, 0.2520, 0.2518), Mo at (0.1432, 0.3933, 0.7414) and Ru at (0.4981, 0.9109, 0.2388).

B) # NiMoRu

NiMoRu after structural relaxation (PBE, Alexandria via LeMat-Bulk).

As for the density of states at the Fermi level: 4.18 states/eV/cell. The calculated volume is 13.6 Å³/atom. The value obtained for the magnetization is 0.000 μB/f.u.

The space group is P2_1/m (No. 11) and the conventional cell measures 4.6547, 4.2900 and 4.6761 Å, with angles of 90.00, 119.33 and 90.00 degrees. Symmetry generates all atoms from Ni at (0.0061, 0.2500, 0.1538), Mo at (0.3234, 0.2500, 0.8184) and Ru at (0.3204, 0.7500, 0.4902).

C) # NiMoRu

NiMoRu after structural relaxation (PBE, Alexandria via LeMat-Bulk).

As for the density of states at the Fermi level: 14.90 states/eV/cell. The calculated volume is 13.7 Å³/atom. The value obtained for the magnetization is 0.000 μB/f.u.

The space group is C2/c (No. 15) and the conventional cell measures 4.6031, 8.1399 and 4.5811 Å, with angles of 90.00, 107.10 and 90.00 degrees. Symmetry generates all atoms from Ni at (0.0000, 0.0758, 0.2500), Mo at (0.0000, 0.4040, 0.2500) and Ru at (0.0000, 0.2515, 0.7500).

D) # NiMoRu

NiMoRu after structural relaxation (PBE, Alexandria via LeMat-Bulk).

As for the density of states at the Fermi level: 12.34 states/eV/cell. The calculated volume is 13.7 Å³/atom. The value obtained for the magnetization is 0.000 μB/f.u.

The space group is C2/c (No. 15) and the conventional cell measures 4.6902, 8.0414 and 4.7293 Å, with angles of 90.00, 113.17 and 90.00 degrees. Symmetry generates all atoms from Ni at (0.0000, 0.2426, 0.2500), Mo at (0.0000, 0.1011, 0.7500) and Ru at (0.0000, 0.4219, 0.7500).

Verdict on stability: A) comes out at the bottom.

A) # NiMoRu

NiMoRu after structural relaxation (PBE, Alexandria via LeMat-Bulk).

As for the density of states at the Fermi level: 8.59 states/eV/cell. The calculated volume is 16.2 Å³/atom. The value obtained for the magnetization is 0.000 μB/f.u.

The space group is F-43m (No. 216) and the conventional cell measures 5.7942, 5.7942 and 5.7942 Å, with angles of 90.00, 90.00 and 90.00 degrees. Symmetry generates all atoms from Ni at (0.0000, 0.0000, 0.0000), Mo at (0.2500, 0.2500, 0.7500) and Ru at (0.0000, 0.0000, 0.5000).

B) # NiMoRu

NiMoRu after structural relaxation (PBE, Alexandria via LeMat-Bulk).

As for the density of states at the Fermi level: 10.48 states/eV/cell. The calculated volume is 13.6 Å³/atom. The value obtained for the magnetization is 0.000 μB/f.u.

The space group is C2/m (No. 12) and the conventional cell measures 8.5036, 3.7260 and 5.4267 Å, with angles of 90.00, 108.72 and 90.00 degrees. Symmetry generates all atoms from Ni at (0.1660, 0.0000, 0.3297), Mo at (0.1616, 0.0000, 0.8184), Ru at (0.0000, 0.5000, 0.0000) and Ru at (0.0000, 0.5000, 0.5000).

Verdict on stability: A) comes out at the bottom.

A) # Ni3MoRu

Ni3MoRu after structural relaxation (PBE, Alexandria via LeMat-Bulk).

As for the density of states at the Fermi level: 53.10 states/eV/cell. The calculated volume is 12.5 Å³/atom. The value obtained for the magnetization is 0.000 μB/f.u.

The space group is C2/c (No. 15) and the conventional cell measures 11.5704, 7.3454 and 8.2144 Å, with angles of 90.00, 134.29 and 90.00 degrees. Symmetry generates all atoms from Ni at (0.1034, 0.1228, 0.1514), Ni at (0.2000, 0.3753, 0.0509), Ni at (0.2007, 0.1241, 0.5482), Mo at (0.0000, 0.1216, 0.7500), Mo at (0.0000, 0.3751, 0.2500) and Ru at (0.1029, 0.3687, 0.6565).

B) # Ni3MoRu

Ni3MoRu after structural relaxation (PBE, Alexandria via LeMat-Bulk).

As for the density of states at the Fermi level: 8.23 states/eV/cell. The calculated volume is 17.1 Å³/atom. The value obtained for the magnetization is 1.886 μB/f.u.

The space group is Pm-3m (No. 221) and the conventional cell measures 4.4042, 4.4042 and 4.4042 Å, with angles of 90.00, 90.00 and 90.00 degrees. Symmetry generates all atoms from Ni at (0.0000, 0.0000, 0.5000), Mo at (0.5000, 0.5000, 0.5000) and Ru at (0.0000, 0.0000, 0.0000).

Verdict on stability: B) comes out at the bottom.

A) # NiMoRu3

NiMoRu3 after structural relaxation (PBE, Alexandria via LeMat-Bulk).

As for the density of states at the Fermi level: 8.23 states/eV/cell. The calculated volume is 16.6 Å³/atom. The value obtained for the magnetization is 1.938 μB/f.u.

The space group is Pm-3m (No. 221) and the conventional cell measures 4.3649, 4.3649 and 4.3649 Å, with angles of 90.00, 90.00 and 90.00 degrees. Symmetry generates all atoms from Ni at (0.0000, 0.0000, 0.0000), Mo at (0.5000, 0.5000, 0.5000) and Ru at (0.0000, 0.0000, 0.5000).

B) # NiMoRu3

NiMoRu3 after structural relaxation (PBE, Alexandria via LeMat-Bulk).

As for the density of states at the Fermi level: 4.89 states/eV/cell. The calculated volume is 19.7 Å³/atom. The value obtained for the magnetization is 3.371 μB/f.u.

The space group is Pm-3m (No. 221) and the conventional cell measures 4.6220, 4.6220 and 4.6220 Å, with angles of 90.00, 90.00 and 90.00 degrees. Symmetry generates all atoms from Ni at (0.0000, 0.0000, 0.0000), Mo at (0.5000, 0.5000, 0.5000) and Ru at (0.0000, 0.5000, 0.5000).

Verdict on stability: B) comes out at the bottom.

A) # NiMoRuW

NiMoRuW after structural relaxation (PBE, Alexandria via LeMat-Bulk).

As for the density of states at the Fermi level: 21.20 states/eV/cell. The calculated volume is 14.4 Å³/atom. The value obtained for the magnetization is 0.000 μB/f.u.

The space group is F-43m (No. 216) and the conventional cell measures 6.1330, 6.1330 and 6.1330 Å, with angles of 90.00, 90.00 and 90.00 degrees. Symmetry generates all atoms from Ni at (0.0000, 0.0000, 0.0000), Mo at (0.2500, 0.2500, 0.7500), Ru at (0.2500, 0.2500, 0.2500) and W at (0.0000, 0.0000, 0.5000).

B) # NiMoRuW

NiMoRuW after structural relaxation (PBE, Alexandria via LeMat-Bulk).

As for the density of states at the Fermi level: 2.56 states/eV/cell. The calculated volume is 14.2 Å³/atom. The value obtained for the magnetization is 0.000 μB/f.u.

The space group is Pmmm (No. 47) and the conventional cell measures 3.8329, 3.8407 and 3.8513 Å, with angles of 90.00, 90.00 and 90.00 degrees. Symmetry generates all atoms from Ni at (0.0000, 0.0000, 0.0000), Mo at (0.5000, 0.0000, 0.5000), Ru at (0.5000, 0.5000, 0.0000) and W at (0.0000, 0.5000, 0.5000).

Verdict on stability: A) comes out at the bottom.

A) # NiSb2Mo

NiSb2Mo after structural relaxation (PBE, Alexandria via LeMat-Bulk).

As for the density of states at the Fermi level: 0.92 states/eV/cell. The calculated volume is 18.4 Å³/atom. The value obtained for the magnetization is 0.000 μB/f.u.

The space group is P4mm (No. 99) and the conventional cell measures 3.6434, 3.6434 and 5.5324 Å, with angles of 90.00, 90.00 and 90.00 degrees. Symmetry generates all atoms from Ni at (0.0000, 0.0000, 0.0000), Sb at (0.0000, 0.0000, 0.4878), Sb at (0.5000, 0.5000, 0.1384) and Mo at (0.5000, 0.5000, 0.6620).

B) # NiSb2Mo

NiSb2Mo after structural relaxation (PBE, Alexandria via LeMat-Bulk).

As for the density of states at the Fermi level: 15.70 states/eV/cell. The calculated volume is 25.7 Å³/atom. The value obtained for the magnetization is 0.866 μB/f.u.

The space group is I-42d (No. 122) and the conventional cell measures 6.1446, 6.1446 and 10.9119 Å, with angles of 90.00, 90.00 and 90.00 degrees. Symmetry generates all atoms from Ni at (0.0000, 0.0000, 0.0000), Sb at (0.2274, 0.2500, 0.1250) and Mo at (0.0000, 0.0000, 0.5000).

Verdict on stability: B) comes out at the bottom.

A) # NiSb3Mo

NiSb3Mo after structural relaxation (PBE, Alexandria via LeMat-Bulk).

As for the density of states at the Fermi level: 2.18 states/eV/cell. The calculated volume is 24.1 Å³/atom. The value obtained for the magnetization is 3.083 μB/f.u.

The space group is Pm-3m (No. 221) and the conventional cell measures 4.9426, 4.9426 and 4.9426 Å, with angles of 90.00, 90.00 and 90.00 degrees. Symmetry generates all atoms from Ni at (0.0000, 0.0000, 0.0000), Sb at (0.0000, 0.0000, 0.5000) and Mo at (0.5000, 0.5000, 0.5000).

B) # NiSb3Mo

NiSb3Mo after structural relaxation (PBE, Alexandria via LeMat-Bulk).

As for the density of states at the Fermi level: 4.51 states/eV/cell. The calculated volume is 27.7 Å³/atom. The value obtained for the magnetization is 0.000 μB/f.u.

The space group is Pm-3m (No. 221) and the conventional cell measures 5.1759, 5.1759 and 5.1759 Å, with angles of 90.00, 90.00 and 90.00 degrees. Symmetry generates all atoms from Ni at (0.0000, 0.0000, 0.0000), Sb at (0.0000, 0.5000, 0.5000) and Mo at (0.5000, 0.5000, 0.5000).

Verdict on stability: B) comes out at the bottom.

A) # NiSb2TeMo

NiSb2TeMo after structural relaxation (PBE, Alexandria via LeMat-Bulk).

As for the density of states at the Fermi level: 7.15 states/eV/cell. The calculated volume is 28.3 Å³/atom. The value obtained for the magnetization is 0.442 μB/f.u.

The space group is P4/mmm (No. 123) and the conventional cell measures 5.2175, 5.2175 and 5.1898 Å, with angles of 90.00, 90.00 and 90.00 degrees. Symmetry generates all atoms from Ni at (0.0000, 0.0000, 0.0000), Sb at (0.0000, 0.5000, 0.5000), Te at (0.5000, 0.5000, 0.0000) and Mo at (0.5000, 0.5000, 0.5000).

B) # NiSb2TeMo

NiSb2TeMo after structural relaxation (PBE, Alexandria via LeMat-Bulk).

As for the density of states at the Fermi level: 3.08 states/eV/cell. The calculated volume is 24.6 Å³/atom. The value obtained for the magnetization is 3.130 μB/f.u.

The space group is P4/mmm (No. 123) and the conventional cell measures 4.8739, 4.8739 and 5.1756 Å, with angles of 90.00, 90.00 and 90.00 degrees. Symmetry generates all atoms from Ni at (0.0000, 0.0000, 0.0000), Sb at (0.0000, 0.5000, 0.0000), Te at (0.0000, 0.0000, 0.5000) and Mo at (0.5000, 0.5000, 0.5000).

Verdict on stability: A) comes out at the bottom.

A) # ScNiMo2

ScNiMo2 after structural relaxation (PBE, Alexandria via LeMat-Bulk).

As for the density of states at the Fermi level: 8.77 states/eV/cell. The calculated volume is 15.9 Å³/atom. The value obtained for the magnetization is 0.000 μB/f.u.

The space group is Imm2 (No. 44) and the conventional cell measures 3.3045, 4.5978 and 8.3765 Å, with angles of 90.00, 90.00 and 90.00 degrees. Symmetry generates all atoms from Sc at (0.0000, 0.0000, 0.0000), Ni at (0.0000, 0.5000, 0.2420), Mo at (0.0000, 0.0000, 0.5003) and Mo at (0.0000, 0.5000, 0.7718).

B) # ScNiMo2

ScNiMo2 after structural relaxation (PBE, Alexandria via LeMat-Bulk).

As for the density of states at the Fermi level: 9.83 states/eV/cell. The calculated volume is 15.7 Å³/atom. The value obtained for the magnetization is 0.000 μB/f.u.

The space group is C2/m (No. 12) and the conventional cell measures 5.2576, 9.2532 and 2.7259 Å, with angles of 90.00, 108.31 and 90.00 degrees. Symmetry generates all atoms from Sc at (0.0000, 0.0000, 0.0000), Ni at (0.0000, 0.5000, 0.0000) and Mo at (0.2500, 0.2500, 0.5000).

Verdict on stability: B) comes out at the bottom.

A) # ScNi2Mo2

ScNi2Mo2 after structural relaxation (PBE, Alexandria via LeMat-Bulk).

As for the density of states at the Fermi level: 16.61 states/eV/cell. The calculated volume is 14.9 Å³/atom. The value obtained for the magnetization is 0.000 μB/f.u.

The space group is P4/mbm (No. 127) and the conventional cell measures 7.3695, 7.3695 and 2.7391 Å, with angles of 90.00, 90.00 and 90.00 degrees. Symmetry generates all atoms from Sc at (0.0000, 0.0000, 0.0000), Ni at (0.1182, 0.3818, 0.0000) and Mo at (0.1764, 0.6764, 0.5000).

B) # ScNi2Mo2

ScNi2Mo2 after structural relaxation (PBE, Alexandria via LeMat-Bulk).

As for the density of states at the Fermi level: 12.95 states/eV/cell. The calculated volume is 16.5 Å³/atom. The value obtained for the magnetization is 1.287 μB/f.u.

The space group is I4/mmm (No. 139) and the conventional cell measures 3.9016, 3.9016 and 10.8354 Å, with angles of 90.00, 90.00 and 90.00 degrees. Symmetry generates all atoms from Sc at (0.0000, 0.0000, 0.0000), Ni at (0.0000, 0.5000, 0.2500) and Mo at (0.0000, 0.0000, 0.3906).

Verdict on stability: B) comes out at the bottom.